1.
This record from the Alexandria database describes Li5Ac2In5 after structural relaxation. The functional is PBE.

## Properties
As for the density: 5.82 g/cm3. Its space-group type is Pmmm (47). Its formation energy is -334 kJ/mol of formula units.

Lattice parameters (Å, degrees): 4.8309 5.6046 11.1929 90.00 90.00 90.00
With the nearest neighbours (Å) after each atom.
Positions (direct):
Li1 0.5000 0.5000 0.5000  4 In 3.13, 4 Li 3.16
Li2 0.5000 0.7474 0.2466  2 Li 2.77-2.83, 5 In 2.87-3.10
Li3 0.5000 0.2526 0.7534  2 Li 2.77-2.83, 5 In 2.87-3.10
Li4 0.5000 0.2526 0.2466  2 Li 2.77-2.83, 5 In 2.87-3.10
Li5 0.5000 0.7474 0.7534  2 Li 2.77-2.83, 5 In 2.87-3.10
Ac1 0.0000 0.5000 0.0000  10 In 3.51-3.70, 8 Li 3.92
Ac2 0.0000 0.0000 0.5000  6 In 3.43-3.48, 4 Li 3.70
In1 0.0000 0.5000 0.3228  6 Li 2.91-3.13, 2 In 3.18
In2 0.0000 0.0000 0.8112  4 Li 2.87, 4 In 3.18-3.21
In3 0.0000 0.0000 0.1888  4 Li 2.87, 4 In 3.18-3.21
In4 0.0000 0.5000 0.6772  6 Li 2.91-3.13, 2 In 3.18
In5 0.5000 0.0000 0.0000  4 Li 3.10, 4 In 3.21

2.
This record from the Alexandria database describes Tb14ThMg after structural relaxation. The functional is PBE.

## Properties
As for the density: 8.19 g/cm3. Its space-group type is P4/mmm (123). Its formation energy is 21 kJ/mol of formula units.

Lattice parameters (Å, degrees): 7.0770 7.0770 10.0461 90.00 90.00 90.01
With the nearest neighbours (Å) after each atom.
Positions (direct):
Tb1 0.3750 0.6250 0.5000  12 Tb 3.54-3.58
Tb2 0.8750 0.1250 0.5000  12 Tb 3.54
Tb3 0.8746 0.6249 0.0000  8 Tb 3.53, 2 Mg 3.54, 2 Th 3.54
Tb4 0.8751 0.6250 0.5000  12 Tb 3.54-3.56
Tb5 0.3751 0.1254 0.0000  8 Tb 3.53, 2 Mg 3.54, 2 Th 3.54
Tb6 0.3750 0.1249 0.5000  12 Tb 3.54-3.56
Tb7 0.6281 0.8781 0.7520  10 Tb 3.49-3.58, 1 Th 3.51, 1 Mg 3.55
Tb8 0.6281 0.8781 0.2480  10 Tb 3.49-3.58, 1 Th 3.51, 1 Mg 3.55
Tb9 0.1219 0.3719 0.7520  10 Tb 3.49-3.58, 1 Th 3.51, 1 Mg 3.55
Tb10 0.1219 0.3719 0.2480  10 Tb 3.49-3.58, 1 Th 3.51, 1 Mg 3.55
Tb11 0.1220 0.8780 0.7521  10 Tb 3.50-3.58, 1 Th 3.51, 1 Mg 3.55
Tb12 0.1220 0.8780 0.2479  10 Tb 3.50-3.58, 1 Th 3.51, 1 Mg 3.55
Tb13 0.6281 0.3719 0.7519  10 Tb 3.49-3.58, 1 Th 3.51, 1 Mg 3.55
Tb14 0.6281 0.3719 0.2481  10 Tb 3.49-3.58, 1 Th 3.51, 1 Mg 3.55
Th1 0.8751 0.1249 0.0000  12 Tb 3.51-3.54
Mg1 0.3750 0.6250 0.0000  12 Tb 3.54-3.55

3.
This record from the Alexandria database describes TmPaRh6 after structural relaxation. The functional is PBE.

## Properties
As for the density: 12.83 g/cm3. Its space-group type is P4/mmm (123). Its formation energy is -575 kJ/mol of formula units.

Lattice parameters (Å, degrees): 4.0519 4.0519 8.0205 90.00 90.00 90.00
With the nearest neighbours (Å) after each atom.
Positions (direct):
Tm1 0.0000 0.0000 0.0000  12 Rh 2.87
Pa1 0.0000 0.0000 0.5000  12 Rh 2.83-2.87
Rh1 0.5000 0.5000 0.0000  4 Tm 2.87, 8 Rh 2.87
Rh2 0.5000 0.5000 0.5000  8 Rh 2.83, 4 Pa 2.87
Rh3 0.5000 0.0000 0.2528  2 Pa 2.83, 8 Rh 2.83-2.87, 2 Tm 2.87
Rh4 0.5000 0.0000 0.7472  8 Rh 2.83-2.87, 2 Pa 2.83, 2 Tm 2.87
Rh5 0.0000 0.5000 0.2528  2 Pa 2.83, 8 Rh 2.83-2.87, 2 Tm 2.87
Rh6 0.0000 0.5000 0.7472  8 Rh 2.83-2.87, 2 Pa 2.83, 2 Tm 2.87

4.
This record from the Alexandria database describes LiOsS2 after structural relaxation. The functional is PBE.

## Properties
As for the density: 7.38 g/cm3. Its space-group type is R-3m (166). The raw formation energy comes out at -0.0190 eV per atom.

Lattice parameters (Å, degrees): 8.1836 8.1836 8.1836 20.49 20.49 20.49
With the nearest neighbours (Å) after each atom.
Positions (direct):
S1 0.9069 0.9069 0.9069  1 Os 2.24, 3 Li 2.44
S2 0.0931 0.0931 0.0931  1 Os 2.24, 3 Li 2.44
Os1 0.0000 0.0000 0.0000  2 S 2.24
Li1 0.5000 0.5000 0.5000  6 S 2.44

5.
This record from the Alexandria database describes BMoRu3 after structural relaxation. The functional is PBE.

## Properties
As for the density: 8.93 g/cm3. Its space-group type is I-4m2 (119). Its formation energy is 281 kJ/mol of formula units.

Lattice parameters (Å, degrees): 4.7807 4.7807 7.4781 108.64 108.64 90.00
With the nearest neighbours (Å) after each atom.
Positions (direct):
B1 0.0000 0.0000 0.0000  4 Ru 2.08
B2 0.2500 0.7500 0.5000  4 Ru 2.03
Mo1 0.5578 0.0578 0.1155  2 B 2.51, 2 Ru 2.78
Mo2 0.9422 0.4422 0.8845  2 B 2.51, 2 Ru 2.78
Ru1 0.6269 0.8710 0.7420  2 B 2.03-2.08
Ru2 0.1290 0.8849 0.2580  2 B 2.03-2.08
Ru3 0.1290 0.3731 0.2580  2 B 2.03-2.08
Ru4 0.1151 0.8710 0.7420  2 B 2.03-2.08
Ru5 0.3232 0.3232 0.6463  2 B 2.58, 6 Ru 2.76-2.84, 2 Mo 2.87
Ru6 0.6768 0.6768 0.3537  2 B 2.58, 6 Ru 2.76-2.84, 2 Mo 2.87

6.
This record from the Alexandria database describes RbSnPbCl5 after structural relaxation. The functional is PBE.

## Properties
As for the density: 3.32 g/cm3. Its space-group type is C2/c (15). The raw formation energy comes out at -1.2972 eV per atom.

Lattice parameters (Å, degrees): 7.8576 7.8576 11.4540 111.37 111.37 96.18
With the nearest neighbours (Å) after each atom.
Positions (direct):
Rb1 0.3263 0.6737 0.2500  7 Cl 3.39-3.52
Rb2 0.6737 0.3263 0.7500  7 Cl 3.39-3.52
Sn1 0.7430 0.2570 0.2500  4 Cl 2.62-2.84
Sn2 0.2570 0.7430 0.7500  4 Cl 2.62-2.84
Pb1 0.0000 0.0000 0.5000  6 Cl 2.90-2.95
Pb2 0.0000 0.0000 0.0000  6 Cl 2.90-2.95
Cl1 0.0364 0.9636 0.2500  2 Pb 2.90
Cl2 0.9636 0.0364 0.7500  2 Pb 2.90
Cl3 0.8879 0.3501 0.0802  1 Sn 2.84, 1 Pb 2.91
Cl4 0.1121 0.6499 0.9198  1 Sn 2.84, 1 Pb 2.91
Cl5 0.6499 0.1121 0.4198  1 Sn 2.84, 1 Pb 2.91
Cl6 0.3501 0.8879 0.5802  1 Sn 2.84, 1 Pb 2.91
Cl7 0.7764 0.6096 0.4068  1 Sn 2.62
Cl8 0.2236 0.3904 0.5932  1 Sn 2.62
Cl9 0.3904 0.2236 0.0932  1 Sn 2.62
Cl10 0.6096 0.7764 0.9068  1 Sn 2.62

7.
This record from the Alexandria database describes Tb2BiPt9 after structural relaxation. The functional is PBE.

## Properties
As for the density: 17.79 g/cm3. Its space-group type is P4/mmm (123). Its formation energy is -808 kJ/mol of formula units.

Lattice parameters (Å, degrees): 4.1343 4.1343 12.4644 90.00 90.00 90.00
With the nearest neighbours (Å) after each atom.
Positions (direct):
Tb1 0.0000 0.0000 0.3373  12 Pt 2.90-2.94
Tb2 0.0000 0.0000 0.6627  12 Pt 2.90-2.94
Bi1 0.0000 0.0000 0.0000  12 Pt 2.92-2.95
Pt1 0.5000 0.5000 0.0000  4 Bi 2.92, 8 Pt 2.95
Pt2 0.5000 0.5000 0.3322  8 Pt 2.90-2.94, 4 Tb 2.92
Pt3 0.5000 0.5000 0.6678  8 Pt 2.90-2.94, 4 Tb 2.92
Pt4 0.5000 0.0000 0.1692  8 Pt 2.90-2.95, 2 Tb 2.94, 2 Bi 2.95
Pt5 0.5000 0.0000 0.5000  4 Tb 2.90, 8 Pt 2.92-2.94
Pt6 0.5000 0.0000 0.8308  8 Pt 2.90-2.95, 2 Tb 2.94, 2 Bi 2.95
Pt7 0.0000 0.5000 0.1692  8 Pt 2.90-2.95, 2 Tb 2.94, 2 Bi 2.95
Pt8 0.0000 0.5000 0.5000  4 Tb 2.90, 8 Pt 2.92-2.94
Pt9 0.0000 0.5000 0.8308  8 Pt 2.90-2.95, 2 Tb 2.94, 2 Bi 2.95

8.
This record from the Alexandria database describes VCrMo2Au after structural relaxation. The functional is PBE.

## Properties
As for the density: 9.53 g/cm3. Its space-group type is P4/mmm (123). Its formation energy is 576 kJ/mol of formula units.

Lattice parameters (Å, degrees): 4.5137 4.2047 4.5137 90.00 90.00 90.00
With the nearest neighbours (Å) after each atom.
Positions (direct):
Cr1 0.0000 0.5000 0.0000  2 V 2.10
Mo1 0.0000 0.0000 0.5000  2 V 2.26
Mo2 0.5000 0.0000 0.0000  2 V 2.26
Au1 0.5000 0.5000 0.5000  8 Mo 3.08, 4 Cr 3.19
V1 0.0000 0.0000 0.0000  2 Cr 2.10, 4 Mo 2.26

9.
This record from the Alexandria database describes HoMn5P3 after structural relaxation. The functional is PBE.

## Properties
As for the density: 7.33 g/cm3. Its space-group type is Cmcm (63). Its formation energy is -562 kJ/mol of formula units.

Lattice parameters (Å, degrees): 3.7410 6.2561 10.8032 90.00 90.00 107.40
With the nearest neighbours (Å) after each atom.
Positions (direct):
Ho1 0.8307 0.6615 0.7500  6 P 2.90-3.19, 4 Mn 3.24
Ho2 0.1693 0.3385 0.2500  6 P 2.90-3.19, 4 Mn 3.24
Mn1 0.8078 0.6156 0.4409  4 P 2.21-2.37, 1 Mn 2.38
Mn2 0.1922 0.3844 0.9409  4 P 2.21-2.37, 1 Mn 2.38
Mn3 0.0000 0.0000 0.5000  6 Mn 2.38-2.52, 4 P 2.44
Mn4 0.0000 0.0000 0.0000  6 Mn 2.38-2.52, 4 P 2.44
Mn5 0.4515 0.9031 0.1472  1 Mn 2.22, 4 P 2.29-2.32
Mn6 0.5485 0.0969 0.8528  1 Mn 2.22, 4 P 2.29-2.32
Mn7 0.5485 0.0969 0.6472  1 Mn 2.22, 4 P 2.29-2.32
Mn8 0.8078 0.6156 0.0591  4 P 2.21-2.37, 1 Mn 2.38
Mn9 0.1922 0.3844 0.5591  4 P 2.21-2.37, 1 Mn 2.38
Mn10 0.4515 0.9031 0.3528  1 Mn 2.22, 4 P 2.29-2.32
P1 0.3770 0.7541 0.9486  7 Mn 2.21-2.44
P2 0.8852 0.7705 0.2500  6 Mn 2.26-2.31
P3 0.3770 0.7541 0.5514  7 Mn 2.21-2.44
P4 0.6230 0.2459 0.4486  7 Mn 2.21-2.44
P5 0.1148 0.2295 0.7500  6 Mn 2.26-2.31
P6 0.6230 0.2459 0.0514  7 Mn 2.21-2.44

10.
This record from the Alexandria database describes HfIO3 after structural relaxation. The functional is PBE.

## Properties
As for the density: 7.70 g/cm3. Its space-group type is Pm-3m (221). The raw formation energy comes out at 0.3289 eV per atom.

Lattice parameters (Å, degrees): 4.2398 4.2398 4.2398 90.00 90.00 90.00
With the nearest neighbours (Å) after each atom.
Positions (direct):
I1 0.0000 0.0000 0.0000  6 O 2.12
Hf1 0.5000 0.5000 0.5000  12 O 3.00
O1 0.0000 0.5000 0.0000  2 I 2.12
O2 0.0000 0.0000 0.5000  2 I 2.12
O3 0.5000 0.0000 0.0000  2 I 2.12

11.
This record from the Alexandria database describes TlCu4Pb3Br12 after structural relaxation. The functional is PBE.

## Properties
As for the density: 4.49 g/cm3. Its space-group type is R32 (155). The raw formation energy comes out at -0.5906 eV per atom.

Lattice parameters (Å, degrees): 9.5340 9.5340 9.5340 105.21 105.21 105.21
With the nearest neighbours (Å) after each atom.
Positions (direct):
Tl1 0.0000 0.0000 0.0000  6 Br 3.49
Cu1 0.9368 0.0632 0.5000  3 Br 2.33-2.43
Cu2 0.0632 0.5000 0.9368  3 Br 2.33-2.43
Cu3 0.5000 0.9368 0.0632  3 Br 2.33-2.43
Cu4 0.5000 0.5000 0.5000  3 Br 2.34
Pb1 0.5509 0.4491 0.0000  6 Br 3.04-3.11
Pb2 0.4491 0.0000 0.5509  6 Br 3.04-3.11
Pb3 0.0000 0.5509 0.4491  6 Br 3.04-3.11
Br1 0.5000 0.3453 0.6547  1 Cu 2.34
Br2 0.9031 0.5000 0.0969  1 Cu 2.43
Br3 0.0969 0.9031 0.5000  1 Cu 2.43
Br4 0.5000 0.0969 0.9031  1 Cu 2.43
Br5 0.3508 0.9867 0.2158  1 Cu 2.33
Br6 0.2158 0.3508 0.9867  1 Cu 2.33
Br7 0.9867 0.2158 0.3508  1 Cu 2.33
Br8 0.6492 0.7842 0.0133  1 Cu 2.33
Br9 0.0133 0.6492 0.7842  1 Cu 2.33
Br10 0.7842 0.0133 0.6492  1 Cu 2.33
Br11 0.6547 0.5000 0.3453  1 Cu 2.34
Br12 0.3453 0.6547 0.5000  1 Cu 2.34

12.
This record from the Alexandria database describes Ta4HgIr after structural relaxation. The functional is PBE.

## Properties
As for the density: 16.66 g/cm3. Its space-group type is F-43m (216). Its formation energy is 238 kJ/mol of formula units.

Lattice parameters (Å, degrees): 5.3991 5.3991 5.3991 60.00 60.00 60.00
With the nearest neighbours (Å) after each atom.
Positions (direct):
Ta1 0.3753 0.8740 0.3753  6 Ta 2.69-2.71
Ta2 0.8740 0.3753 0.3753  6 Ta 2.69-2.71
Ta3 0.3753 0.3753 0.8740  6 Ta 2.69-2.71
Ta4 0.3753 0.3753 0.3753  6 Ta 2.69-2.71
Hg1 0.7500 0.7500 0.7500  12 Ta 3.16, 4 Ir 3.31
Ir1 0.0000 0.0000 0.0000  12 Ta 3.17, 4 Hg 3.31

Number 1: energy -34.94 eV/cell. Number 2: energy -73.62 eV/cell. Number 3: energy -64.04 eV/cell. Number 4: energy -21.47 eV/cell. Number 5: energy -84.85 eV/cell. Number 6: energy -56.58 eV/cell. Number 7: energy -75.88 eV/cell. Number 8: energy -37.72 eV/cell. Number 9: energy -144.97 eV/cell. Number 10: energy -24.73 eV/cell. Number 11: energy -61.76 eV/cell. Number 12: energy -54.11 eV/cell.